# 1
Computed, not measured: a relaxed LaTe2SeI crystal at the GGA-PBE level of DFT.

raw formation energy = -337 meV per atom
electronic total energy = -3.586 eV/atom
E above lowest polymorph = 0.0 meV/atom
space group = P4/mmm
DOS(E_F) = 5.53 states/eV/f.u.

Geometry as POSCAR:
```
LaTe2SeI
1.0
5.5136 0.0000 0.0000
0.0000 5.5136 0.0000
0.0000 0.0000 5.6492
I La Te Se
1 1 2 1
Cartesian
0.0000 0.0000 2.8246 I
2.7568 2.7568 2.8246 La
2.7568 0.0000 0.0000 Te
0.0000 2.7568 0.0000 Te
0.0000 0.0000 0.0000 Se
```

=====

# 2
Computed, not measured: a relaxed Si2OsRu2 crystal at the GGA-PBE level of DFT.

raw formation energy = -261 meV per atom
electronic total energy = -8.387 eV/atom
E above lowest polymorph = 0.0 meV/atom
space group = P4/mbm
DOS(E_F) = 2.53 states/eV/f.u.

Geometry as POSCAR:
```
Si2OsRu2
1.0
-2.3928 -5.3553 3.6635
2.0836 -4.3320 -4.9717
2.4682 -0.2476 1.2502
Os Si Ru
2 4 4
Cartesian
-0.1546 -4.8437 -0.6541 Os
0.0000 0.0000 0.0000 Os
-0.7032 -7.3732 -0.0720 Si
0.9320 -5.6078 -2.9506 Si
0.3940 -2.3141 -1.2362 Si
-1.2411 -4.0795 1.6424 Si
0.7338 -2.6423 1.1140 Ru
2.2279 -3.7962 -2.0642 Ru
1.4252 -7.2926 -1.1720 Ru
-0.0688 -6.1387 2.0062 Ru
```

=====

# 3
Computed, not measured: a relaxed Sr2CrHg crystal at the GGA-PBE level of DFT.

calculated formation energy = 3.32 kcal/mol of atoms
electronic total energy = -3.178 eV/atom
E above lowest polymorph = 61.4 meV/atom
space group = Fm-3m
DOS(E_F) = 5.15 states/eV/f.u.

Geometry as POSCAR:
```
Sr2CrHg
1.0
0.0000 3.9953 3.9953
3.9953 0.0000 3.9953
3.9953 3.9953 0.0000
Hg Sr Cr
1 2 1
Cartesian
3.9953 3.9953 3.9953 Hg
5.9930 5.9930 5.9930 Sr
1.9977 1.9977 1.9977 Sr
0.0000 0.0000 0.0000 Cr
```

=====

# 4
Computed, not measured: a relaxed PrSm2Dy2Th2 crystal at the GGA-PBE level of DFT.

calculated formation energy = 3.75 kcal/mol of atoms
electronic total energy = -5.303 eV/atom
space group = C2/m
DOS(E_F) = 10.78 states/eV/f.u.

Geometry as POSCAR:
```
PrSm2Dy2Th2
1.0
3.4921 0.0000 0.0000
-1.7461 15.1891 -0.7504
0.0000 -7.5792 4.8135
Th Dy Sm Pr
2 2 2 1
Cartesian
1.7461 -0.6323 1.6381 Th
0.0000 8.2422 2.4250 Th
0.0000 4.9177 3.0933 Dy
1.7461 2.6923 0.9698 Dy
0.0000 1.5280 3.8970 Sm
1.7461 6.0819 0.1661 Sm
0.0000 -3.7896 2.4068 Pr
```

=====

# 5
Computed, not measured: a relaxed HoGa2Ag4 crystal at the GGA-PBE level of DFT.

calculated formation energy = -4.71 kcal/mol of atoms
electronic total energy = -3.352 eV/atom
E above lowest polymorph = 18.6 meV/atom
space group = P4_2/mnm
DOS(E_F) = 3.84 states/eV/f.u.

Geometry as POSCAR:
```
HoGa2Ag4
1.0
4.2587 0.0000 0.0000
0.0000 7.9592 0.0000
0.0000 0.0000 7.9592
Ag Ho Ga
8 2 4
Cartesian
0.0000 5.2115 7.1941 Ag
0.0000 7.1941 5.2115 Ag
2.1293 6.7273 3.2145 Ag
2.1293 3.2145 6.7273 Ag
2.1293 4.7447 1.2319 Ag
0.0000 2.7477 0.7651 Ag
0.0000 0.7651 2.7477 Ag
2.1293 1.2319 4.7447 Ag
2.1293 0.0000 0.0000 Ho
0.0000 3.9796 3.9796 Ho
0.0000 6.3438 1.6154 Ga
0.0000 1.6154 6.3438 Ga
2.1293 5.5950 5.5950 Ga
2.1293 2.3642 2.3642 Ga
```

=====

# 6
Computed, not measured: a relaxed LiNpInSn crystal at the GGA-PBE level of DFT.

calculated formation energy = -0.15 kcal/mol of atoms
electronic total energy = -5.405 eV/atom
space group = F-43m
DOS(E_F) = 8.82 states/eV/f.u.

Geometry as POSCAR:
```
LiNpInSn
1.0
5.1626 0.0000 0.0000
2.5813 4.4709 0.0000
2.5813 1.4903 4.2152
Li Sn Np In
1 1 1 1
Cartesian
5.1626 2.9806 2.1076 Li
2.5813 1.4903 1.0538 Sn
0.0000 0.0000 0.0000 Np
7.7438 4.4709 3.1614 In
```

=====

# 7
Computed, not measured: a relaxed CaCr2Rh crystal at the GGA-PBE level of DFT.

calculated formation energy = 16.79 kcal/mol of atoms
electronic total energy = -6.422 eV/atom
E above lowest polymorph = 503.4 meV/atom
space group = Cmmm
DOS(E_F) = 5.45 states/eV/f.u.

Geometry as POSCAR:
```
CaCr2Rh
1.0
5.2228 -0.0056 0.0000
-2.7895 4.4155 0.0000
0.0000 0.0000 2.6578
Cr Ca Rh
2 1 1
Cartesian
0.0000 0.0000 0.0000 Cr
1.2167 2.2049 0.0000 Cr
-1.3947 2.2077 1.3289 Ca
2.6114 -0.0028 1.3289 Rh
```

=====

# 8
Computed, not measured: a relaxed Ba8Rh3I crystal at the GGA-PBE level of DFT.

raw formation energy = -328 meV per atom
electronic total energy = -3.577 eV/atom
space group = C2/m
DOS(E_F) = 9.57 states/eV/f.u.

Geometry as POSCAR:
```
Ba8Rh3I
1.0
-2.6181 -2.9119 8.6856
-3.3956 -4.4058 -7.7281
8.7999 -0.7061 2.4164
Ba Rh I
8 3 1
Cartesian
-3.1290 -6.4945 -0.7833 Ba
-1.5552 -4.4930 3.2496 Ba
-1.9570 -5.1916 -4.6713 Ba
4.3405 -3.5315 0.1238 Ba
3.2244 -4.8050 4.5868 Ba
-0.4395 -3.2182 -1.2132 Ba
5.9162 -1.5292 4.1575 Ba
4.7442 -2.8320 8.0454 Ba
-1.3081 -1.4565 4.3430 Rh
5.7924 -4.3645 2.8950 Rh
4.4833 -5.8205 7.2379 Rh
-6.0131 -7.3177 0.9576 I
```

=====

# 9
Computed, not measured: a relaxed CuH2 crystal at the GGA-PBE level of DFT.

electronic total energy = -3.316 eV/atom
space group = Immm
DOS(E_F) = 0.44 states/eV/f.u.

Geometry as POSCAR:
```
CuH2
1.0
-0.2344 -2.1190 -2.9234
1.5888 -2.7413 1.7470
-2.9636 3.1429 1.5757
Cu H
1 2
Cartesian
0.6772 -2.4301 -0.5882 Cu
-0.8402 -2.5329 -0.0095 H
-0.7690 0.8155 0.4089 H
```

=====

# 10
Computed, not measured: a relaxed TcP3 crystal at the GGA-PBE level of DFT.

calculated formation energy = 2.60 kcal/mol of atoms
electronic total energy = -6.536 eV/atom
E above lowest polymorph = 558.0 meV/atom
space group = P4/mmm
DOS(E_F) = 1.18 states/eV/f.u.

Geometry as POSCAR:
```
TcP3
1.0
2.9634 0.0000 0.0000
0.0000 2.9634 0.0000
0.0000 0.0000 6.3034
P Tc
3 1
Cartesian
0.0000 0.0000 3.2945 P
1.4817 1.4817 1.5758 P
0.0000 0.0000 6.1606 P
1.4817 1.4817 4.7275 Tc
```

=====

# 11
Computed, not measured: a relaxed BaSc2Zn crystal at the GGA-PBE level of DFT.

calculated formation energy = 8.66 kcal/mol of atoms
electronic total energy = -3.589 eV/atom
space group = Cmmm
DOS(E_F) = 5.97 states/eV/f.u.

Geometry as POSCAR:
```
BaSc2Zn
1.0
-3.1767 4.0857 0.7614
-2.3861 -3.1324 3.4437
2.3209 1.2867 2.7785
Zn Sc Ba
1 2 1
Cartesian
-0.4279 2.6862 1.7699 Zn
-2.7814 0.4767 2.1025 Sc
0.0000 0.0000 0.0000 Sc
-0.0326 -0.9228 3.1111 Ba
```

=====

# 12
Computed, not measured: a relaxed NaSmHg2 crystal at the GGA-PBE level of DFT.

calculated formation energy = -8.26 kcal/mol of atoms
electronic total energy = -2.019 eV/atom
E above lowest polymorph = 4.7 meV/atom
space group = P4/mmm
DOS(E_F) = 3.06 states/eV/f.u.

Geometry as POSCAR:
```
NaSmHg2
1.0
-1.1332 2.8567 -1.8911
-3.7764 0.9760 3.7372
3.4702 3.1527 2.6832
Hg Na Sm
2 1 1
Cartesian
-1.8882 0.4880 1.8686 Hg
1.7351 1.5764 1.3416 Hg
-0.5666 1.4283 -0.9455 Na
-0.7197 3.4927 2.2647 Sm
```

=====

# 13
Computed, not measured: a relaxed Ta2AgAu crystal at the GGA-PBE level of DFT.

calculated formation energy = 5.50 kcal/mol of atoms
electronic total energy = -7.220 eV/atom
E above lowest polymorph = 218.7 meV/atom
space group = Imm2
DOS(E_F) = 1.93 states/eV/f.u.

Geometry as POSCAR:
```
Ta2AgAu
1.0
5.6914 0.0045 0.0015
2.6876 5.0168 -0.0015
-3.4641 -3.7210 2.5584
Ta Ag Au
2 1 1
Cartesian
3.2875 -0.5555 1.2800 Ta
8.3776 5.0206 0.0000 Ta
4.1558 2.4905 0.0000 Ag
1.6623 1.8768 1.2784 Au
```

=====

# 14
Computed, not measured: a relaxed MgCo2WS crystal at the GGA-PBE level of DFT.

raw formation energy = 1488 meV per atom
electronic total energy = -5.089 eV/atom
space group = P4/mmm
DOS(E_F) = 6.18 states/eV/f.u.

Geometry as POSCAR:
```
MgCo2WS
1.0
-3.6996 2.1412 0.9110
-0.9350 -3.3806 4.1485
2.2020 2.6684 2.6707
Co Mg W S
2 1 1 1
Cartesian
1.1010 1.3342 1.3353 Co
-1.8498 1.0706 0.4555 Co
-0.4675 -1.6903 2.0743 Mg
0.0000 0.0000 0.0000 W
-1.2163 0.7145 3.8651 S
```

=====

# 15
Computed, not measured: a relaxed Li5HgPd3 crystal at the GGA-PBE level of DFT.

calculated formation energy = -5.55 kcal/mol of atoms
electronic total energy = -3.069 eV/atom
E above lowest polymorph = 0.0 meV/atom
space group = C2/m
DOS(E_F) = 2.99 states/eV/f.u.

Geometry as POSCAR:
```
Li5HgPd3
1.0
6.4072 -0.9009 1.4892
0.8875 6.4091 1.4892
3.5414 2.6741 9.8934
Pd Li Hg
6 10 2
Cartesian
1.7707 1.3371 4.9467 Pd
3.0704 2.3185 2.6665 Pd
4.8353 3.6511 7.5950 Pd
0.0000 0.0000 0.0000 Pd
7.7658 5.8639 10.2053 Pd
6.0009 4.5312 5.2768 Pd
3.9396 2.9748 5.1676 Li
5.1788 3.9104 2.8191 Li
4.9515 1.0270 1.4892 Li
4.8126 6.6477 5.4872 Li
5.6575 4.2719 10.0527 Li
2.3433 4.4812 1.4892 Li
7.7112 2.8089 5.4872 Li
3.1250 5.3734 7.3846 Li
6.0236 1.5347 7.3846 Li
6.8966 5.2075 7.7041 Li
0.8866 0.6695 2.4728 Hg
9.9496 7.5128 10.3990 Hg
```

=====

# 16
Computed, not measured: a relaxed BePdS2Cl crystal at the GGA-PBE level of DFT.

raw formation energy = 702 meV per atom
electronic total energy = -3.102 eV/atom
E above lowest polymorph = 409.3 meV/atom
space group = P4/mmm
DOS(E_F) = 4.50 states/eV/f.u.

Geometry as POSCAR:
```
BePdS2Cl
1.0
-0.4536 -3.8004 -2.7549
4.1694 0.9451 -1.9903
2.1590 -2.6307 3.2735
Be Pd S Cl
1 1 2 1
Cartesian
2.9374 -2.7430 -0.7359 Be
0.0000 0.0000 0.0000 Pd
2.0847 0.4725 -0.9951 S
-0.2268 -1.9002 -1.3775 S
1.0795 -1.3153 1.6368 Cl
```

=====

# 17
Computed, not measured: a relaxed LiAl2In crystal at the GGA-PBE level of DFT.

calculated formation energy = -0.67 kcal/mol of atoms
electronic total energy = -3.064 eV/atom
space group = P4/mmm
DOS(E_F) = 2.40 states/eV/f.u.

Geometry as POSCAR:
```
LiAl2In
1.0
4.0799 0.0000 0.0000
0.0000 4.0799 0.0000
0.0000 0.0000 4.4641
Al In Li
2 1 1
Cartesian
0.0000 0.0000 0.0000 Al
2.0400 2.0400 0.0000 Al
2.0400 0.0000 2.2321 In
0.0000 2.0400 2.2321 Li
```